1.
# ScGa2Ni2

A geometry-optimized ScGa2Ni2 structure (GGA-PBE, Alexandria via LeMat-Bulk).

Results
Mass density ... 6.6 g/cm³
SG ... I4/mmm, No. 139
Energy of formation ... -49 kJ/mol of atoms

abc: 3.8271 3.8271 10.7768
angles: 100.23 100.23 90.00
Fractional coordinates of all 10 atoms:
Ni: 0.9301 0.9301 0.8602
Sc: 0.3760 0.3760 0.7521
Ni: 0.7500 0.2500 0.5000
Ga: 0.5000 0.0000 0.0000
Ni: 0.0699 0.0699 0.1398
Ni: 0.2500 0.7500 0.5000
Sc: 0.6240 0.6240 0.2479
Ga: 0.0000 0.5000 0.0000
Ga: 0.8189 0.8189 0.6378
Ga: 0.1811 0.1811 0.3622

2.
# ScGa2Ni

A geometry-optimized ScGa2Ni structure (GGA-PBE, Alexandria via LeMat-Bulk).

Results
Mass density ... 6.3 g/cm³
SG ... Pnma, No. 62
Energy of formation ... -57 kJ/mol of atoms

abc: 5.1394 6.5393 7.5697
angles: 90.00 90.00 90.00
Fractional coordinates of all 16 atoms:
Sc: 0.8844 0.7500 0.4638
Ga: 0.1197 0.9496 0.8137
Ga: 0.3803 0.5504 0.3137
Ga: 0.3803 0.9496 0.3137
Ga: 0.8803 0.0504 0.1863
Ga: 0.8803 0.4496 0.1863
Ni: 0.3746 0.7500 0.5920
Sc: 0.1156 0.2500 0.5362
Ga: 0.6197 0.0504 0.6863
Sc: 0.6156 0.7500 0.9638
Sc: 0.3844 0.2500 0.0362
Ni: 0.6254 0.2500 0.4080
Ga: 0.1197 0.5504 0.8137
Ni: 0.8746 0.2500 0.9080
Ga: 0.6197 0.4496 0.6863
Ni: 0.1254 0.7500 0.0920

3.
# Sc3Ga3Ni2

A geometry-optimized Sc3Ga3Ni2 structure (GGA-PBE, Alexandria via LeMat-Bulk).

Results
Mass density ... 5.6 g/cm³
SG ... Pnma, No. 62
Energy of formation ... -58 kJ/mol of atoms

abc: 5.2522 7.6036 13.8025
angles: 90.00 90.00 90.00
Fractional coordinates of all 32 atoms:
Ni: 0.8763 0.0915 0.1078
Ni: 0.1237 0.9085 0.8922
Sc: 0.6175 0.0384 0.6113
Ga: 0.3725 0.6695 0.2500
Ga: 0.6102 0.3077 0.0374
Ga: 0.1102 0.1923 0.9626
Sc: 0.8825 0.5384 0.6113
Ni: 0.3763 0.4085 0.8922
Ni: 0.6237 0.5915 0.1078
Ni: 0.8763 0.0915 0.3922
Ga: 0.1102 0.1923 0.5374
Sc: 0.3825 0.9616 0.3887
Sc: 0.1175 0.4616 0.3887
Sc: 0.6330 0.3181 0.2500
Ga: 0.3898 0.6923 0.9626
Sc: 0.8825 0.5384 0.8887
Ga: 0.1275 0.1695 0.2500
Ga: 0.6275 0.3305 0.7500
Sc: 0.3825 0.9616 0.1113
Sc: 0.8670 0.8181 0.2500
Sc: 0.1330 0.1819 0.7500
Sc: 0.6175 0.0384 0.8887
Sc: 0.1175 0.4616 0.1113
Ga: 0.8725 0.8305 0.7500
Ga: 0.8898 0.8077 0.4626
Ni: 0.3763 0.4085 0.6078
Ni: 0.1237 0.9085 0.6078
Ga: 0.3898 0.6923 0.5374
Ni: 0.6237 0.5915 0.3922
Ga: 0.8898 0.8077 0.0374
Ga: 0.6102 0.3077 0.4626
Sc: 0.3670 0.6819 0.7500

4.
# Sc2GaNi4

A geometry-optimized Sc2GaNi4 structure (GGA-PBE, Alexandria via LeMat-Bulk).

Results
Mass density ... 5.4 g/cm³
SG ... I4/mmm, No. 139
Energy of formation ... 14 kJ/mol of atoms

abc: 4.3013 4.3013 7.1766
angles: 72.56 72.56 90.00
Fractional coordinates of all 7 atoms:
Sc: 0.3661 0.3661 0.2678
Ga: 0.0000 0.0000 0.0000
Ni: 0.1789 0.1789 0.6422
Ni: 0.5000 0.0000 0.0000
Ni: 0.8211 0.8211 0.3578
Ni: 0.0000 0.5000 0.0000
Sc: 0.6339 0.6339 0.7322

5.
# ScGaNi2

A geometry-optimized ScGaNi2 structure (GGA-PBE, Alexandria via LeMat-Bulk).

Results
Mass density ... 6.8 g/cm³
SG ... P4/mmm, No. 123
Energy of formation ... -44 kJ/mol of atoms

abc: 3.3660 4.0986 4.0986
angles: 90.00 90.00 90.00
Fractional coordinates of all 4 atoms:
Ga: 0.5000 0.5000 0.5000
Sc: 0.5000 0.0000 0.0000
Ni: 0.0000 0.5000 0.0000
Ni: 0.0000 0.0000 0.5000

6.
# Sc3Ga2Ni

A geometry-optimized Sc3Ga2Ni structure (GGA-PBE, Alexandria via LeMat-Bulk).

Results
Relative energy among the computed polymorphs ... 0.011 eV/atom
Mass density ... 4.9 g/cm³
SG ... Pnma, No. 62
Energy of formation ... -55 kJ/mol of atoms

abc: 4.2065 9.9135 10.8842
angles: 90.00 90.00 90.00
Fractional coordinates of all 24 atoms:
Ni: 0.2500 0.1071 0.1199
Sc: 0.7500 0.6360 0.9536
Sc: 0.7500 0.1837 0.2765
Ga: 0.7500 0.4815 0.1850
Sc: 0.7500 0.5802 0.6343
Sc: 0.2500 0.8163 0.7235
Ga: 0.7500 0.0185 0.6850
Sc: 0.2500 0.1360 0.5464
Sc: 0.2500 0.0802 0.8657
Ni: 0.2500 0.3929 0.6199
Sc: 0.2500 0.4198 0.3657
Ga: 0.2500 0.6749 0.4868
Ga: 0.2500 0.9815 0.3150
Sc: 0.7500 0.9198 0.1343
Sc: 0.7500 0.3163 0.7765
Ni: 0.7500 0.6071 0.3801
Sc: 0.2500 0.3640 0.0464
Ga: 0.2500 0.5185 0.8150
Ni: 0.7500 0.8929 0.8801
Sc: 0.7500 0.8640 0.4536
Ga: 0.7500 0.3251 0.5132
Ga: 0.2500 0.8251 0.9868
Sc: 0.2500 0.6837 0.2235
Ga: 0.7500 0.1749 0.0132

7.
# ScGa5Ni

A geometry-optimized ScGa5Ni structure (GGA-PBE, Alexandria via LeMat-Bulk).

Results
Mass density ... 6.5 g/cm³
SG ... P4/mmm, No. 123
Energy of formation ... -43 kJ/mol of atoms

abc: 4.1989 4.1989 6.5885
angles: 90.00 90.00 90.00
Fractional coordinates of all 7 atoms:
Ga: 0.0000 0.5000 0.2983
Ni: 0.0000 0.0000 0.5000
Ga: 0.5000 0.5000 0.0000
Ga: 0.5000 0.0000 0.2983
Sc: 0.0000 0.0000 0.0000
Ga: 0.5000 0.0000 0.7017
Ga: 0.0000 0.5000 0.7017

8.
# Sc5GaNi2

A geometry-optimized Sc5GaNi2 structure (GGA-PBE, Alexandria via LeMat-Bulk).

Results
Mass density ... 4.4 g/cm³
SG ... I4/mcm, No. 140
Energy of formation ... -42 kJ/mol of atoms

abc: 7.1203 7.1203 7.8869
angles: 116.83 116.83 90.00
Fractional coordinates of all 16 atoms:
Sc: 0.5189 0.6984 0.7173
Ga: 0.7500 0.7500 0.5000
Sc: 0.9811 0.4811 0.2827
Sc: 0.0000 0.0000 0.0000
Sc: 0.1984 0.0189 0.7173
Sc: 0.4811 0.3016 0.2827
Sc: 0.0189 0.5189 0.7173
Sc: 0.3016 0.8016 0.2827
Ni: 0.8711 0.6289 0.0000
Sc: 0.5000 0.5000 0.0000
Ni: 0.6289 0.1289 0.0000
Ni: 0.1289 0.3711 0.0000
Ni: 0.3711 0.8711 0.0000
Ga: 0.2500 0.2500 0.5000
Sc: 0.8016 0.9811 0.2827
Sc: 0.6984 0.1984 0.7173

9.
# Sc3Ga2Ni

A geometry-optimized Sc3Ga2Ni structure (GGA-PBE, Alexandria via LeMat-Bulk).

Results
Relative energy among the computed polymorphs ... 0.000 eV/atom
Mass density ... 5.1 g/cm³
SG ... P4/mmm, No. 123
Energy of formation ... -56 kJ/mol of atoms

abc: 3.2291 3.2291 10.3523
angles: 90.00 90.00 90.00
Fractional coordinates of all 6 atoms:
Ga: 0.5000 0.5000 0.1756
Sc: 0.0000 0.0000 0.3512
Sc: 0.0000 0.0000 0.0000
Ga: 0.5000 0.5000 0.8244
Ni: 0.5000 0.5000 0.5000
Sc: 0.0000 0.0000 0.6488

10.
# ScGaNi2

A geometry-optimized ScGaNi2 structure (GGA-PBE, Alexandria via LeMat-Bulk).

Results
Mass density ... 6.8 g/cm³
SG ... P4/mmm, No. 123
Energy of formation ... -46 kJ/mol of atoms

abc: 3.1155 3.1155 5.8328
angles: 90.00 90.00 90.00
Fractional coordinates of all 4 atoms:
Ga: 0.5000 0.5000 0.0000
Sc: 0.5000 0.5000 0.5000
Ni: 0.0000 0.0000 0.2252
Ni: 0.0000 0.0000 0.7748

11.
# Sc5Ga5Ni2

A geometry-optimized Sc5Ga5Ni2 structure (GGA-PBE, Alexandria via LeMat-Bulk).

Results
Mass density ... 5.4 g/cm³
SG ... C2/m, No. 12
Energy of formation ... -59 kJ/mol of atoms

abc: 4.2849 7.4682 7.4297
angles: 96.97 73.24 73.33
Fractional coordinates of all 12 atoms:
Ga: 0.0038 0.7535 0.2389
Ga: 0.9962 0.2465 0.7611
Sc: 0.6962 0.6650 0.9426
Sc: 0.3282 0.0138 0.3299
Sc: 0.3038 0.3350 0.0574
Sc: 0.0000 0.5000 0.5000
Ga: 0.0000 0.0000 0.0000
Ni: 0.5428 0.6144 0.3000
Ga: 0.7018 0.2728 0.3236
Ni: 0.4572 0.3856 0.7000
Sc: 0.6718 0.9862 0.6701
Ga: 0.2982 0.7272 0.6764

12.
# Sc4Ga16Ni3

A geometry-optimized Sc4Ga16Ni3 structure (GGA-PBE, Alexandria via LeMat-Bulk).

Results
Mass density ... 6.4 g/cm³
SG ... P4/mmm, No. 123
Energy of formation ... -45 kJ/mol of atoms

abc: 5.9827 5.9827 10.6831
angles: 90.00 90.00 90.00
Fractional coordinates of all 23 atoms:
Ga: 0.7450 0.7450 0.3766
Ga: 0.5000 0.5000 0.8020
Ga: 0.2550 0.2550 0.6234
Ni: 0.0000 0.5000 0.5000
Ga: 0.7196 0.2804 0.0000
Sc: 0.5000 0.0000 0.1913
Ga: 0.7450 0.2550 0.6234
Sc: 0.0000 0.5000 0.1913
Ga: 0.2804 0.7196 0.0000
Ga: 0.2550 0.7450 0.6234
Ga: 0.2550 0.2550 0.3766
Ga: 0.0000 0.0000 0.2229
Ni: 0.0000 0.0000 0.0000
Sc: 0.5000 0.0000 0.8087
Ga: 0.7450 0.2550 0.3766
Sc: 0.0000 0.5000 0.8087
Ga: 0.7450 0.7450 0.6234
Ga: 0.5000 0.5000 0.1980
Ga: 0.7196 0.7196 0.0000
Ni: 0.5000 0.0000 0.5000
Ga: 0.2550 0.7450 0.3766
Ga: 0.0000 0.0000 0.7771
Ga: 0.2804 0.2804 0.0000

13.
# ScGaNi2

A geometry-optimized ScGaNi2 structure (GGA-PBE, Alexandria via LeMat-Bulk).

Results
Mass density ... 6.2 g/cm³
SG ... I-42d, No. 122
Energy of formation ... -11 kJ/mol of atoms

abc: 6.7513 6.7513 5.4991
angles: 52.13 52.13 90.00
Fractional coordinates of all 8 atoms:
Ga: 0.7500 0.2500 0.5000
Ni: 0.3750 0.3497 0.7500
Ni: 0.6503 0.1250 0.2500
Ga: 0.0000 0.0000 0.0000
Ni: 0.0997 0.6250 0.2500
Sc: 0.2500 0.7500 0.5000
Ni: 0.8750 0.9003 0.7500
Sc: 0.5000 0.5000 0.0000

14.
# ScGa2Ni

A geometry-optimized ScGa2Ni structure (GGA-PBE, Alexandria via LeMat-Bulk).

Results
Mass density ... 6.4 g/cm³
SG ... Pnma, No. 62
Energy of formation ... -60 kJ/mol of atoms

abc: 5.1776 6.5080 15.0206
angles: 90.00 90.00 90.00
Fractional coordinates of all 32 atoms:
Ga: 0.2363 0.4508 0.4676
Ga: 0.7637 0.9508 0.5324
Ga: 0.5324 0.0503 0.7153
Ni: 0.0048 0.7500 0.9257
Ni: 0.4952 0.7500 0.4257
Ni: 0.5048 0.2500 0.5743
Ga: 0.9676 0.4497 0.2153
Ga: 0.9676 0.0503 0.2153
Sc: 0.9745 0.7500 0.3558
Ni: 0.2148 0.2500 0.3275
Ga: 0.7363 0.9508 0.0324
Ni: 0.7148 0.7500 0.1725
Ga: 0.2637 0.0492 0.9676
Sc: 0.5255 0.7500 0.8558
Sc: 0.0255 0.2500 0.6442
Sc: 0.7302 0.2500 0.3931
Ga: 0.2363 0.0492 0.4676
Ga: 0.2637 0.4508 0.9676
Ga: 0.0324 0.5503 0.7847
Ga: 0.0324 0.9497 0.7847
Ni: 0.7852 0.7500 0.6725
Sc: 0.7698 0.2500 0.8931
Ga: 0.5324 0.4497 0.7153
Sc: 0.2698 0.7500 0.6069
Ga: 0.7637 0.5492 0.5324
Ni: 0.2852 0.2500 0.8275
Ga: 0.7363 0.5492 0.0324
Sc: 0.2302 0.7500 0.1069
Ga: 0.4676 0.9497 0.2847
Ga: 0.4676 0.5503 0.2847
Sc: 0.4745 0.2500 0.1442
Ni: 0.9952 0.2500 0.0743

15.
# ScGa2Ni6

A geometry-optimized ScGa2Ni6 structure (GGA-PBE, Alexandria via LeMat-Bulk).

Results
Mass density ... 7.7 g/cm³
SG ... Immm, No. 71
Energy of formation ... -19 kJ/mol of atoms

abc: 2.7056 6.8503 7.2577
angles: 118.16 100.74 90.00
Fractional coordinates of all 9 atoms:
Ni: 0.6757 0.4962 0.3513
Ni: 0.3243 0.5038 0.6487
Sc: 0.0000 0.5000 0.0000
Ga: 0.1485 0.1485 0.2971
Ni: 0.5000 0.8279 0.0000
Ni: 0.3243 0.1449 0.6487
Ni: 0.5000 0.1721 0.0000
Ga: 0.8515 0.8515 0.7029
Ni: 0.6757 0.8551 0.3513

16.
# Sc3Ga2Ni2

A geometry-optimized Sc3Ga2Ni2 structure (GGA-PBE, Alexandria via LeMat-Bulk).

Results
Mass density ... 5.4 g/cm³
SG ... Pbcm, No. 57
Energy of formation ... -57 kJ/mol of atoms

abc: 5.2833 7.4148 12.3485
angles: 90.00 90.00 90.00
Fractional coordinates of all 28 atoms:
Ga: 0.1258 0.8885 0.2500
Ni: 0.3726 0.9572 0.0914
Sc: 0.8475 0.4014 0.9006
Sc: 0.3686 0.2606 0.7500
Ni: 0.3726 0.9572 0.4086
Ni: 0.6274 0.4572 0.4086
Sc: 0.6314 0.7394 0.2500
Ni: 0.3726 0.5428 0.9086
Sc: 0.1525 0.9014 0.9006
Sc: 0.1525 0.9014 0.5994
Ga: 0.3277 0.2500 0.0000
Ga: 0.6723 0.7500 0.0000
Sc: 0.8475 0.0986 0.4006
Ga: 0.6723 0.7500 0.5000
Sc: 0.1525 0.5986 0.4006
Ga: 0.3277 0.2500 0.5000
Sc: 0.1525 0.5986 0.0994
Ni: 0.6274 0.0428 0.5914
Sc: 0.6314 0.7606 0.7500
Ga: 0.1258 0.6115 0.7500
Ni: 0.3726 0.5428 0.5914
Sc: 0.3686 0.2394 0.2500
Sc: 0.8475 0.0986 0.0994
Ni: 0.6274 0.4572 0.0914
Ga: 0.8742 0.1115 0.7500
Sc: 0.8475 0.4014 0.5994
Ni: 0.6274 0.0428 0.9086
Ga: 0.8742 0.3885 0.2500

17.
# Sc3GaNi

A geometry-optimized Sc3GaNi structure (GGA-PBE, Alexandria via LeMat-Bulk).

Results
Relative energy among the computed polymorphs ... 0.000 eV/atom
Mass density ... 4.3 g/cm³
SG ... P6_3/mmc, No. 194
Energy of formation ... -34 kJ/mol of atoms

abc: 4.7318 7.0324 7.0324
angles: 119.99 90.00 90.00
Fractional coordinates of all 10 atoms:
Ni: 0.5000 0.0000 0.0000
Sc: 0.2500 0.3731 0.1866
Ni: 0.0000 0.0000 0.0000
Sc: 0.2500 0.8134 0.1866
Sc: 0.7500 0.1866 0.8134
Sc: 0.7500 0.1866 0.3731
Ga: 0.2500 0.3335 0.6665
Sc: 0.2500 0.8134 0.6269
Sc: 0.7500 0.6269 0.8134
Ga: 0.7500 0.6665 0.3335

18.
# Sc3GaNi2

A geometry-optimized Sc3GaNi2 structure (GGA-PBE, Alexandria via LeMat-Bulk).

Results
Mass density ... 5.2 g/cm³
SG ... P4/mmm, No. 123
Energy of formation ... -53 kJ/mol of atoms

abc: 3.1953 3.1953 9.9764
angles: 90.00 90.00 90.00
Fractional coordinates of all 6 atoms:
Ni: 0.5000 0.5000 0.1638
Ni: 0.5000 0.5000 0.8362
Sc: 0.0000 0.0000 0.3154
Sc: 0.0000 0.0000 0.6846
Ga: 0.5000 0.5000 0.5000
Sc: 0.0000 0.0000 0.0000

19.
# ScGa2Ni5

A geometry-optimized ScGa2Ni5 structure (GGA-PBE, Alexandria via LeMat-Bulk).

Results
Mass density ... 7.3 g/cm³
SG ... Immm, No. 71
Energy of formation ... -32 kJ/mol of atoms

abc: 3.3989 6.0737 6.0737
angles: 66.79 73.75 73.75
Fractional coordinates of all 8 atoms:
Ni: 0.0000 0.5000 0.5000
Ga: 0.2508 0.2492 0.2492
Ni: 0.3704 0.8256 0.4337
Ni: 0.3704 0.4337 0.8256
Ni: 0.6296 0.5663 0.1744
Ga: 0.7492 0.7508 0.7508
Ni: 0.6296 0.1744 0.5663
Sc: 0.0000 0.0000 0.0000